Entry P
A plane-wave DFT calculation with PBE-GGA was carried out for an optimized crystal structure of Tb2NdHg2.

Structure (CIF):
```
data_Tb2NdHg2
_cell_length_a 5.2483
_cell_length_b 5.2483
_cell_length_c 6.3811
_cell_angle_alpha 90.00
_cell_angle_beta 90.00
_cell_angle_gamma 120.00
_symmetry_space_group_name_H-M 'P -3 m 1'
_symmetry_Int_Tables_number 164
_symmetry_space_group_name_Hall '-P 3 2"'
loop_
_atom_site_label
_atom_site_fract_x
_atom_site_fract_y
_atom_site_fract_z
_atom_site_occupancy
Tb1 0.3333 0.6667 0.1585 1
Nd1 0.0000 0.0000 0.5000 1
Hg1 0.3333 0.6667 0.6770 1
```

Values from the calculation:
D(E_F) (states/eV/cell): 6.9

***

Entry Q
A plane-wave DFT calculation with PBE-GGA was carried out for an optimized crystal structure of Tb2NdHg2.

Structure (CIF):
```
data_Tb2NdHg2
_cell_length_a 3.772
_cell_length_b 5.407
_cell_length_c 13.913
_cell_angle_alpha 90.00
_cell_angle_beta 97.79
_cell_angle_gamma 90.00
_symmetry_space_group_name_H-M 'P 1 21/m 1'
_symmetry_Int_Tables_number 11
loop_
_symmetry_equiv_pos_as_xyz
'x,y,z'
'-x,-y,-z'
'-x,y+1/2,-z'
'x,-y+1/2,z'
loop_
_atom_site_label
_atom_site_fract_x
_atom_site_fract_y
_atom_site_fract_z
_atom_site_occupancy
Tb1 0.049 0.250 0.096 1
Tb2 0.236 0.250 0.473 1
Nd1 0.148 0.750 0.292 1
Hg1 0.355 0.750 0.711 1
Hg2 0.455 0.250 0.910 1
```

Values from the calculation:
D(E_F) (states/eV/cell): 10.5

***

What should be chosen as the most stable of them? Choose entry Q.